[1]
VASP calculation (PBE) on a relaxed structure of TbReBr. Values from VASP.

```
&SYSTEM
  ibrav = 0, nat = 6, ntyp = 3
/
ATOMIC_SPECIES
Tb 158.93 Tb.upf
Re 186.21 Re.upf
Br 79.90 Br.upf
CELL_PARAMETERS angstrom
2.064 1.192 11.567
-2.064 1.192 11.567
0.000 -2.383 11.567
ATOMIC_POSITIONS crystal
Tb 0.063 0.063 0.063
Tb 0.937 0.937 0.937
Re 0.339 0.339 0.339
Re 0.661 0.661 0.661
Br 0.218 0.218 0.218
Br 0.782 0.782 0.782
```

Values from the calculation:
total magnetization = 0.0 μB per formula unit
formation energy without anion corrections = -0.87 eV per atom
raw total energy = -21.4 eV per formula unit
calculated volume = 170.7 Å³ per cell
density = 8.27 g cm⁻³

***

[2]
VASP calculation (PBE) on a relaxed structure of SrHoPt2. Values from VASP.

```
&SYSTEM
  ibrav = 0, nat = 12, ntyp = 3
/
ATOMIC_SPECIES
Sr 87.62 Sr.upf
Ho 164.93 Ho.upf
Pt 195.08 Pt.upf
CELL_PARAMETERS angstrom
4.751 0.000 0.000
-2.375 4.114 0.000
0.000 0.000 15.344
ATOMIC_POSITIONS crystal
Sr 0.000 0.000 0.000
Sr 0.333 0.667 0.667
Sr 0.667 0.333 0.333
Ho 0.000 0.000 0.500
Ho 0.333 0.667 0.167
Ho 0.667 0.333 0.833
Pt 0.000 0.000 0.217
Pt 0.000 0.000 0.783
Pt 0.333 0.667 0.450
Pt 0.333 0.667 0.884
Pt 0.667 0.333 0.116
Pt 0.667 0.333 0.550
```

Values from the calculation:
total magnetization = 0.0 μB per formula unit
raw total energy = -22.1 eV per formula unit
calculated volume = 299.9 Å³ per cell
energy relative to the elements = -0.943 eV/atom
density = 10.68 g cm⁻³

***

[3]
VASP calculation (PBE) on a relaxed structure of TaVRe3. Values from VASP.

```
&SYSTEM
  ibrav = 0, nat = 5, ntyp = 3
/
ATOMIC_SPECIES
Ta 180.95 Ta.upf
V 50.94 V.upf
Re 186.21 Re.upf
CELL_PARAMETERS angstrom
4.721 0.000 0.000
0.000 4.721 0.000
0.000 0.000 4.721
ATOMIC_POSITIONS crystal
Ta 0.000 0.000 0.000
V 0.500 0.500 0.500
Re 0.000 0.000 0.500
Re 0.000 0.500 0.000
Re 0.500 0.000 0.000
```

Values from the calculation:
total magnetization = 0.6 μB per formula unit
raw total energy = -46.7 eV per formula unit
calculated volume = 105.2 Å³ per cell
energy relative to the elements = 2.319 eV/atom
density = 12.47 g cm⁻³

***

> Among the records above, which one has the highest total magnetization?

TaVRe3